Entry 1:
# MgAl2Cu2

A relaxed structure of MgAl2Cu2 (PBE, Alexandria via LeMat-Bulk).

a b c (Å): 3.7095 3.7095 6.5488
angles (deg): 73.55 73.55 90.00
Sites, in units of the cell vectors:
Mg 0.0000 0.0000 0.0000
Al 0.3903 0.3903 0.2194
Al 0.6097 0.6097 0.7806
Cu 0.7500 0.2500 0.5000
Cu 0.2500 0.7500 0.5000

Computed properties:
Total magnetic moment, μB per formula unit: 0.00
Crystal system: tetragonal
Formation energy, eV/atom: 0.030
SG: I4/mmm, No. 139



Entry 2:
# SrZn2SiOs

A relaxed structure of SrZn2SiOs (PBE, Alexandria via LeMat-Bulk).

a b c (Å): 4.9122 4.9122 4.5771
angles (deg): 90.00 90.00 90.00
Sites, in units of the cell vectors:
Sr 0.5000 0.5000 0.5000
Zn 0.0000 0.5000 0.0000
Zn 0.5000 0.0000 0.0000
Os 0.0000 0.0000 0.0000
Si 0.0000 0.0000 0.5000

Computed properties:
Total magnetic moment, μB per formula unit: 0.00
Crystal system: tetragonal
Formation energy from raw total energies, eV/atom: -0.2109
SG: P4/mmm, No. 123



Entry 3:
# Mg5Cd2AgIr2

A relaxed structure of Mg5Cd2AgIr2 (PBE, Alexandria via LeMat-Bulk).

a b c (Å): 3.9906 9.8698 9.8698
angles (deg): 90.00 90.00 90.00
Sites, in units of the cell vectors:
Mg 0.5000 0.2047 0.0786
Mg 0.5000 0.7953 0.9214
Mg 0.5000 0.0786 0.7953
Mg 0.5000 0.7047 0.4214
Mg 0.5000 0.9214 0.2047
Mg 0.5000 0.2953 0.5786
Mg 0.5000 0.5786 0.7047
Mg 0.5000 0.4214 0.2953
Mg 0.5000 0.5000 0.0000
Mg 0.5000 0.0000 0.5000
Cd 0.0000 0.6720 0.1720
Cd 0.0000 0.3280 0.8280
Cd 0.0000 0.1720 0.3280
Cd 0.0000 0.8280 0.6720
Ag 0.0000 0.0000 0.0000
Ag 0.0000 0.5000 0.5000
Ir 0.0000 0.1223 0.6223
Ir 0.0000 0.8777 0.3777
Ir 0.0000 0.6223 0.8777
Ir 0.0000 0.3777 0.1223

Computed properties:
Total magnetic moment, μB per formula unit: 0.00
Crystal system: tetragonal
Formation energy, eV/atom: -0.168
SG: P4/mbm, No. 127



Entry 4:
# Tb4P3Br

A relaxed structure of Tb4P3Br (PBE, Alexandria via LeMat-Bulk).

a b c (Å): 4.0316 7.0438 7.0438
angles (deg): 70.95 90.00 90.00
Sites, in units of the cell vectors:
P 0.5000 0.0001 0.5000
P 0.0000 0.0001 0.0000
P 0.9999 0.5001 0.5000
Tb 0.0000 0.7756 0.7245
Tb 0.5001 0.7614 0.2612
Tb 0.0000 0.2247 0.2754
Tb 0.4998 0.2388 0.7387
Br 0.5000 0.5001 0.0000

Computed properties:
Total magnetic moment, μB per formula unit: 0.00
Crystal system: orthorhombic
Formation energy from raw total energies, eV/atom: -1.5589
SG: Cmmm, No. 65



Entry 5:
# ZrMn2GaC

A relaxed structure of ZrMn2GaC (PBE, Alexandria via LeMat-Bulk).

a b c (Å): 3.4679 5.6720 7.1615
angles (deg): 90.00 90.00 107.80
Each line ends with the local moment (μB).
Sites, in units of the cell vectors:
Zr 0.4670 0.9340 0.7500  -0.08
Zr 0.5330 0.0660 0.2500  -0.08
Mn 0.1630 0.3261 0.9396  1.51
Mn 0.8370 0.6739 0.0604  1.51
Mn 0.1630 0.3261 0.5604  1.51
Mn 0.8370 0.6739 0.4396  1.51
Ga 0.7495 0.4989 0.7500  -0.05
Ga 0.2505 0.5011 0.2500  -0.05
C 0.0000 0.0000 0.0000  -0.08
C 0.0000 0.0000 0.5000  -0.08

Computed properties:
Total magnetic moment, μB per formula unit: 2.81
Crystal system: orthorhombic
Formation energy, eV/atom: -0.233
SG: Cmcm, No. 63



Entry 6:
# K3Ag4F12

A relaxed structure of K3Ag4F12 (PBE, Alexandria via LeMat-Bulk).

a b c (Å): 7.4966 7.4966 7.4966
angles (deg): 109.47 109.47 109.47
Sites, in units of the cell vectors:
K 0.5000 0.5000 0.0000
K 0.0000 0.5000 0.5000
K 0.5000 0.0000 0.5000
Ag 0.5000 0.5000 0.5000
Ag 0.5000 0.0000 0.0000
Ag 0.0000 0.0000 0.5000
Ag 0.0000 0.5000 0.0000
F 0.2467 0.7272 0.9740
F 0.7533 0.2728 0.0260
F 0.2467 0.2728 0.5195
F 0.2728 0.0260 0.7533
F 0.9740 0.2467 0.7272
F 0.4805 0.7533 0.7272
F 0.7272 0.4805 0.7533
F 0.0260 0.7533 0.2728
F 0.7533 0.7272 0.4805
F 0.7272 0.9740 0.2467
F 0.5195 0.2467 0.2728
F 0.2728 0.5195 0.2467

Computed properties:
Total magnetic moment, μB per formula unit: 0.00
Crystal system: cubic
Formation energy from raw total energies, eV/atom: -1.7226
SG: Im-3, No. 204



Entry 7:
# Cs12CdHg6

A relaxed structure of Cs12CdHg6 (PBE, Alexandria via LeMat-Bulk).

a b c (Å): 11.7276 11.7276 11.7276
angles (deg): 109.47 109.47 109.47
Sites, in units of the cell vectors:
Cs 0.2988 0.1163 0.8175
Cs 0.2988 0.4814 0.1825
Cs 0.7012 0.5186 0.8175
Cs 0.7012 0.8837 0.1825
Cs 0.1163 0.8175 0.2988
Cs 0.4814 0.1825 0.2988
Cs 0.5186 0.8175 0.7012
Cs 0.8837 0.1825 0.7012
Cs 0.8175 0.2988 0.1163
Cs 0.1825 0.2988 0.4814
Cs 0.8175 0.7012 0.5186
Cs 0.1825 0.7012 0.8837
Cd 0.0000 0.0000 0.0000
Hg 0.3869 0.5000 0.8869
Hg 0.6131 0.5000 0.1131
Hg 0.5000 0.8869 0.3869
Hg 0.5000 0.1131 0.6131
Hg 0.8869 0.3869 0.5000
Hg 0.1131 0.6131 0.5000

Computed properties:
Total magnetic moment, μB per formula unit: 0.00
Crystal system: cubic
Formation energy, eV/atom: -0.149
SG: Im-3, No. 204



Entry 8:
# ReSiI3

A relaxed structure of ReSiI3 (PBE, Alexandria via LeMat-Bulk).

a b c (Å): 5.4506 5.4506 5.4506
angles (deg): 90.00 90.00 90.00
Each line ends with the local moment (μB).
Sites, in units of the cell vectors:
I 0.0000 0.5000 0.0000  0.01
I 0.0000 0.0000 0.5000  0.04
I 0.5000 0.0000 0.0000  0.05
Re 0.0000 0.0000 0.0000  1.73
Si 0.5000 0.5000 0.5000  0.34

Computed properties:
Total magnetic moment, μB per formula unit: 3.31
Crystal system: cubic
Energy above the most stable polymorph in this dataset, eV per formula unit: 0.00
Formation energy from raw total energies, eV/atom: 1.1478
SG: Pm-3m, No. 221



Entry 9:
# MnSi3Pd

A relaxed structure of MnSi3Pd (PBE, Alexandria via LeMat-Bulk).

a b c (Å): 4.3395 4.3395 4.3395
angles (deg): 90.00 90.00 90.00
Each line ends with the local moment (μB).
Sites, in units of the cell vectors:
Si 0.0000 0.5000 0.0000  -0.01
Si 0.0000 0.0000 0.5000  -0.01
Si 0.5000 0.0000 0.0000  0.01
Mn 0.0000 0.0000 0.0000  0.41
Pd 0.5000 0.5000 0.5000  0.01

Computed properties:
Total magnetic moment, μB per formula unit: 0.48
Crystal system: cubic
Energy above the most stable polymorph in this dataset, eV per formula unit: 0.00
Formation energy from raw total energies, eV/atom: 0.2426
SG: Pm-3m, No. 221



Entry 10:
# Na2NiIr2Se6

A relaxed structure of Na2NiIr2Se6 (PBE, Alexandria via LeMat-Bulk).

a b c (Å): 6.5041 6.5041 7.1134
angles (deg): 98.87 98.87 120.06
Sites, in units of the cell vectors:
Na 0.8340 0.1660 0.0000
Na 0.1660 0.8340 0.0000
Ni 0.0000 0.0000 0.5000
Ir 0.3322 0.6678 0.5000
Ir 0.6678 0.3322 0.5000
Se 0.7371 0.7371 0.6823
Se 0.0616 0.3875 0.6824
Se 0.2629 0.2629 0.3177
Se 0.3875 0.0616 0.6824
Se 0.9384 0.6125 0.3176
Se 0.6125 0.9384 0.3176

Computed properties:
Total magnetic moment, μB per formula unit: 0.00
Crystal system: monoclinic
Formation energy from raw total energies, eV/atom: -0.4957
SG: C2/m, No. 12



Entry 11:
# PmMgAlSn

A relaxed structure of PmMgAlSn (PBE, Alexandria via LeMat-Bulk).

a b c (Å): 4.4607 4.5693 4.6369
angles (deg): 90.00 90.00 90.00
Sites, in units of the cell vectors:
Pm 0.5000 0.0000 0.5000
Mg 0.5000 0.5000 0.0000
Al 0.0000 0.5000 0.5000
Sn 0.0000 0.0000 0.0000

Computed properties:
Total magnetic moment, μB per formula unit: 0.00
Crystal system: orthorhombic
Energy above the most stable polymorph in this dataset, eV per formula unit: 0.00
Formation energy, eV/atom: -0.438
SG: Pmmm, No. 47



Entry 12:
# ZrSbRh

A relaxed structure of ZrSbRh (PBE, Alexandria via LeMat-Bulk).

a b c (Å): 5.7238 5.7242 3.3699
angles (deg): 72.87 72.89 34.24
Sites, in units of the cell vectors:
Rh 0.0042 0.0042 0.9958
Sb 0.3450 0.3450 0.6550
Zr 0.6508 0.6508 0.3492

Computed properties:
Total magnetic moment, μB per formula unit: 0.00
Crystal system: tetragonal
Formation energy from raw total energies, eV/atom: -0.4784
SG: I4mm, No. 107



Entry 13:
# PmEuMgRh

A relaxed structure of PmEuMgRh (PBE, Alexandria via LeMat-Bulk).

a b c (Å): 5.1995 5.1995 5.1995
angles (deg): 60.00 60.00 60.00
Each line ends with the local moment (μB).
Sites, in units of the cell vectors:
Eu 0.2500 0.2500 0.2500  6.79
Mg 0.0000 0.0000 0.0000  0.00
Rh 0.5000 0.5000 0.5000  -0.11
Pm 0.7500 0.7500 0.7500  0.02

Computed properties:
Total magnetic moment, μB per formula unit: 6.99
Crystal system: cubic
Formation energy, eV/atom: -0.234
SG: F-43m, No. 216



Entry 14:
# TmAlAgPd

A relaxed structure of TmAlAgPd (PBE, Alexandria via LeMat-Bulk).

a b c (Å): 4.7225 4.7225 4.7225
angles (deg): 60.00 60.00 60.00
Sites, in units of the cell vectors:
Tm 0.0000 0.0000 0.0000
Pd 0.7500 0.7500 0.7500
Ag 0.2500 0.2500 0.2500
Al 0.5000 0.5000 0.5000

Computed properties:
Total magnetic moment, μB per formula unit: 0.00
Crystal system: cubic
Formation energy, eV/atom: -0.585
SG: F-43m, No. 216



Entry 15:
# Pa2ZnIrN5

A relaxed structure of Pa2ZnIrN5 (PBE, Alexandria via LeMat-Bulk).

a b c (Å): 3.4015 7.4575 8.9330
angles (deg): 90.00 90.00 103.18
Sites, in units of the cell vectors:
Pa 0.8667 0.7334 0.7897
Pa 0.1236 0.2472 0.7426
Pa 0.1333 0.2666 0.2897
Pa 0.8764 0.7528 0.2426
Zn 0.5211 0.0422 0.0144
Zn 0.4789 0.9578 0.5144
Ir 0.7672 0.5345 0.5114
Ir 0.2328 0.4655 0.0114
N 0.3794 0.7588 0.9661
N 0.7161 0.4322 0.8658
N 0.5199 0.0398 0.7551
N 0.2750 0.5501 0.6549
N 0.9095 0.8190 0.5241
N 0.6206 0.2412 0.4661
N 0.2839 0.5678 0.3658
N 0.4801 0.9602 0.2551
N 0.7250 0.4499 0.1549
N 0.0905 0.1810 0.0241

Computed properties:
Total magnetic moment, μB per formula unit: 0.00
Crystal system: orthorhombic
Formation energy from raw total energies, eV/atom: -0.7534
SG: Cmc2_1, No. 36



Entry 16:
# Cr2PtW

A relaxed structure of Cr2PtW (PBE, Alexandria via LeMat-Bulk).

a b c (Å): 4.7528 4.7528 4.7528
angles (deg): 133.01 133.01 68.64
Each line ends with the local moment (μB).
Sites, in units of the cell vectors:
Cr 0.0000 0.0000 0.0000  1.87
Cr 0.2500 0.7500 0.5000  -1.25
Pt 0.5000 0.5000 0.0000  0.07
W 0.7500 0.2500 0.5000  0.09

Computed properties:
Total magnetic moment, μB per formula unit: 0.86
Crystal system: tetragonal
Energy above the most stable polymorph in this dataset, eV per formula unit: 0.05
Formation energy, eV/atom: 0.005
SG: I-4m2, No. 119



Entry 17:
# TiCrH3

A relaxed structure of TiCrH3 (PBE, Alexandria via LeMat-Bulk).

a b c (Å): 4.3620 4.3620 4.9914
angles (deg): 64.09 64.09 60.00
Sites, in units of the cell vectors:
Ti 0.1049 0.1049 0.6854
Ti 0.8951 0.8951 0.3146
Cr 0.3085 0.3085 0.0745
Cr 0.6915 0.6915 0.9255
H 0.4163 0.8700 0.2975
H 0.8700 0.4162 0.2975
H 0.4162 0.4163 0.2975
H 0.5837 0.5838 0.7025
H 0.1300 0.5837 0.7025
H 0.5838 0.1300 0.7025

Computed properties:
Total magnetic moment, μB per formula unit: 0.00
Crystal system: trigonal
Energy above the most stable polymorph in this dataset, eV per formula unit: 0.00
SG: R-3m, No. 166



Entry 18:
# NaCu3Si3

A relaxed structure of NaCu3Si3 (PBE, Alexandria via LeMat-Bulk).

a b c (Å): 6.5160 6.5160 6.5160
angles (deg): 90.00 90.00 90.00
Sites, in units of the cell vectors:
Na 0.5000 0.5000 0.5000
Na 0.0000 0.0000 0.0000
Si 0.0000 0.2500 0.5000
Si 0.0000 0.7500 0.5000
Si 0.5000 0.0000 0.7500
Si 0.7500 0.5000 0.0000
Si 0.5000 0.0000 0.2500
Si 0.2500 0.5000 0.0000
Cu 0.2500 0.0000 0.5000
Cu 0.0000 0.5000 0.2500
Cu 0.5000 0.7500 0.0000
Cu 0.7500 0.0000 0.5000
Cu 0.0000 0.5000 0.7500
Cu 0.5000 0.2500 0.0000

Computed properties:
Total magnetic moment, μB per formula unit: 0.00
Crystal system: cubic
Formation energy from raw total energies, eV/atom: 0.3379
SG: Pm-3n, No. 223



Entry 19:
# Fe2Cu2Sb

A relaxed structure of Fe2Cu2Sb (PBE, Alexandria via LeMat-Bulk).

a b c (Å): 6.4746 6.4746 3.5033
angles (deg): 90.00 90.00 90.00
Each line ends with the local moment (μB).
Sites, in units of the cell vectors:
Sb 0.0000 0.0000 0.0000  -0.07
Sb 0.5000 0.5000 0.0000  -0.07
Fe 0.3732 0.8732 0.0000  2.29
Fe 0.8732 0.6268 0.0000  2.28
Fe 0.6268 0.1268 0.0000  2.29
Fe 0.1268 0.3732 0.0000  2.28
Cu 0.1598 0.6598 0.5000  0.04
Cu 0.6598 0.8402 0.5000  0.04
Cu 0.8402 0.3402 0.5000  0.04
Cu 0.3402 0.1598 0.5000  0.04

Computed properties:
Total magnetic moment, μB per formula unit: 4.52
Crystal system: tetragonal
Energy above the most stable polymorph in this dataset, eV per formula unit: 0.00
Formation energy from raw total energies, eV/atom: 0.3323
SG: P4/mbm, No. 127



Entry 20:
# Tb4Ho8Er3

A relaxed structure of Tb4Ho8Er3 (PBE, Alexandria via LeMat-Bulk).

a b c (Å): 6.8675 6.8675 12.3019
angles (deg): 73.79 73.79 60.00
Sites, in units of the cell vectors:
Tb 0.0000 0.0000 0.0000
Tb 0.3364 0.3364 0.9907
Tb 0.5000 0.5000 0.5000
Tb 0.6636 0.6636 0.0093
Ho 0.2449 0.2449 0.2652
Ho 0.2475 0.7502 0.2521
Ho 0.7502 0.7502 0.2521
Ho 0.7502 0.2475 0.2521
Ho 0.7551 0.7551 0.7348
Ho 0.7525 0.2498 0.7479
Ho 0.2498 0.2498 0.7479
Ho 0.2498 0.7525 0.7479
Er 0.5000 0.0000 0.5000
Er 0.0000 0.0000 0.5000
Er 0.0000 0.5000 0.5000

Computed properties:
Total magnetic moment, μB per formula unit: 0.00
Crystal system: trigonal
Energy above the most stable polymorph in this dataset, eV per formula unit: 0.00
Formation energy, eV/atom: 0.139
SG: R-3m, No. 166



Entry 21:
# BaLi4

A relaxed structure of BaLi4 (PBE, Alexandria via LeMat-Bulk).

a b c (Å): 9.2751 9.2751 9.2751
angles (deg): 109.47 109.47 109.47
Sites, in units of the cell vectors:
Ba 0.4392 0.0000 0.0000
Ba 0.0000 0.4392 0.0000
Ba 0.0000 0.0000 0.4392
Ba 0.5608 0.5608 0.5608
Li 0.8071 0.0000 0.0000
Li 0.0000 0.8071 0.0000
Li 0.0000 0.0000 0.8071
Li 0.1929 0.1929 0.1929
Li 0.0000 0.3622 0.3622
Li 0.0000 0.6378 0.6378
Li 0.6378 0.0000 0.6378
Li 0.3622 0.0000 0.3622
Li 0.6378 0.6378 0.0000
Li 0.3622 0.3622 0.0000
Li 0.5000 0.2499 0.7499
Li 0.5000 0.7501 0.2501
Li 0.2501 0.5000 0.7501
Li 0.7499 0.5000 0.2499
Li 0.7501 0.2501 0.5000
Li 0.2499 0.7499 0.5000

Computed properties:
Total magnetic moment, μB per formula unit: 0.00
Crystal system: cubic
Energy above the most stable polymorph in this dataset, eV per formula unit: 0.29
Formation energy, eV/atom: 0.070
SG: I-43m, No. 217



Entry 22:
# K2AgPt

A relaxed structure of K2AgPt (PBE, Alexandria via LeMat-Bulk).

a b c (Å): 6.1093 2.9269 6.1082
angles (deg): 89.94 90.00 90.00
Sites, in units of the cell vectors:
Ag 0.5000 0.6248 0.8753
K 0.0000 0.1248 0.8747
K 0.5000 0.1247 0.3752
Pt 0.0000 0.6257 0.3747

Computed properties:
Total magnetic moment, μB per formula unit: 0.00
Crystal system: tetragonal
Energy above the most stable polymorph in this dataset, eV per formula unit: 0.64
Formation energy, eV/atom: 0.179
SG: P4/mmm, No. 123